# 1
Here is a relaxed SrCaS2 crystal from the Alexandria database. Energies are from PBEsol.

a b c (Å): 7.059 7.059 7.059
angles (deg): 90.00 90.00 90.00
Space group Fm-3m (No. 225)
Asymmetric unit:
Sr (0.000, 0.000, 0.000) x4
Ca (0.000, 0.000, 0.500) x4
S (0.250, 0.250, 0.250) x8

Values from the calculation:
Crystal system: cubic
V (Å³/cell): 352
Relative energy among the computed polymorphs (meV/atom): 288.0
Energy relative to the elements, uncorrected (eV per formula unit): -7.490
Raw total energy (eV per atom): -5.06
Fermi-level density of states (states/eV/atom): 0.000

***

# 2
Here is a relaxed Sr3CaS4 crystal from the Alexandria database. Energies are from PBEsol.

a b c (Å): 8.339 11.791 4.169
angles (deg): 90.00 90.00 90.00
Space group Cmmm (No. 65)
Asymmetric unit:
Sr (0.000, 0.000, 0.000) x2
Sr (0.250, 0.250, 0.500) x4
Ca (0.000, 0.500, 0.000) x2
S (0.000, 0.254, 0.000) x4
S (0.241, 0.500, 0.500) x4

Values from the calculation:
Crystal system: orthorhombic
V (Å³/cell): 410
Energy relative to the elements, uncorrected (eV per formula unit): -17.385
Raw total energy (eV per atom): -5.32
Fermi-level density of states (states/eV/atom): 0.000

***

# 3
Here is a relaxed SrCaS2 crystal from the Alexandria database. Energies are from PBEsol.

a b c (Å): 4.118 4.118 5.821
angles (deg): 90.00 90.00 90.00
Space group P4/mmm (No. 123)
Asymmetric unit:
Sr (0.000, 0.000, 0.000) x1
Ca (0.500, 0.500, 0.500) x1
S (0.000, 0.000, 0.500) x1
S (0.500, 0.500, 0.000) x1

Values from the calculation:
Crystal system: tetragonal
V (Å³/cell): 99
Relative energy among the computed polymorphs (meV/atom): 0.0
Energy relative to the elements, uncorrected (eV per formula unit): -8.642
Raw total energy (eV per atom): -5.35
Fermi-level density of states (states/eV/atom): 0.000

***

# 4
Here is a relaxed SrCaS2 crystal from the Alexandria database. Energies are from PBEsol.

a b c (Å): 4.3101 4.3101 24.3321
angles (deg): 90.00 90.00 120.00
Space group R-3m (No. 166, hexagonal axes)
Asymmetric unit:
Sr (0.0000, 0.0000, 0.0000) x3
Ca (0.0000, 0.0000, 0.5000) x3
S (0.0000, 0.0000, 0.1096) x6

Values from the calculation:
Crystal system: trigonal
V (Å³/cell): 391
Relative energy among the computed polymorphs (meV/atom): 863.9
Energy relative to the elements, uncorrected (eV per formula unit): -5.187
Raw total energy (eV per atom): -4.48
Fermi-level density of states (states/eV/atom): 0.690

***

# 5
Here is a relaxed SrCaZnS2 crystal from the Alexandria database. Energies are from PBEsol.

a b c (Å): 5.384 5.384 6.232
angles (deg): 90.00 90.00 90.00
Space group P4/mmm (No. 123)
Asymmetric unit:
Sr (0.000, 0.000, 0.000) x1
Ca (0.000, 0.000, 0.500) x1
Zn (0.500, 0.500, 0.500) x1
S (0.000, 0.500, 0.000) x2

Values from the calculation:
Crystal system: tetragonal
V (Å³/cell): 181
Energy relative to the elements, uncorrected (eV per formula unit): 0.852
Raw total energy (eV per atom): -2.69
Fermi-level density of states (states/eV/atom): 0.984

***

# 6
Here is a relaxed CaTb2S4 crystal from the Alexandria database. Energies are from PBEsol.

a b c (Å): 8.259 8.259 8.278
angles (deg): 90.00 90.00 90.00
Space group I-42d (No. 122)
Asymmetric unit:
Ca (0.000, 0.000, 0.000) x4
Tb (0.128, 0.750, 0.625) x8
S (0.075, 0.676, 0.944) x16

Values from the calculation:
Crystal system: tetragonal
V (Å³/cell): 565
Energy relative to the elements, uncorrected (eV per formula unit): -15.117
Raw total energy (eV per atom): -6.40
Fermi-level density of states (states/eV/atom): 0.000

***

# 7
Here is a relaxed Ca3TlS crystal from the Alexandria database. Energies are from PBEsol.

a b c (Å): 5.300 5.300 5.300
angles (deg): 90.00 90.00 90.00
Space group Pm-3m (No. 221)
Asymmetric unit:
Ca (0.000, 0.000, 0.500) x3
Tl (0.500, 0.500, 0.500) x1
S (0.000, 0.000, 0.000) x1

Values from the calculation:
Crystal system: cubic
V (Å³/cell): 149
Energy relative to the elements, uncorrected (eV per formula unit): -4.779
Raw total energy (eV per atom): -3.64
Fermi-level density of states (states/eV/atom): 0.902

***

# 8
Here is a relaxed CaYS3 crystal from the Alexandria database. Energies are from PBEsol.

a b c (Å): 5.127 5.127 5.127
angles (deg): 90.00 90.00 90.00
Space group Pm-3m (No. 221)
Asymmetric unit:
Ca (0.000, 0.000, 0.000) x1
Y (0.500, 0.500, 0.500) x1
S (0.000, 0.500, 0.500) x3

Values from the calculation:
Crystal system: cubic
V (Å³/cell): 135
Energy relative to the elements, uncorrected (eV per formula unit): -6.570
Raw total energy (eV per atom): -5.74
Fermi-level density of states (states/eV/atom): 0.888

***

# 9
Here is a relaxed CaYS2 crystal from the Alexandria database. Energies are from PBEsol.

a b c (Å): 4.0192 4.0192 24.5467
angles (deg): 90.00 90.00 120.00
Space group R-3m (No. 166, hexagonal axes)
Asymmetric unit:
Ca (0.0000, 0.0000, 0.0000) x3
Y (0.0000, 0.0000, 0.5000) x3
S (0.0000, 0.0000, 0.1086) x6

Values from the calculation:
Crystal system: trigonal
V (Å³/cell): 343
Relative energy among the computed polymorphs (meV/atom): 0.0
Energy relative to the elements, uncorrected (eV per formula unit): -6.786
Raw total energy (eV per atom): -6.13
Fermi-level density of states (states/eV/atom): 0.244

***

# 10
Here is a relaxed CaYS2 crystal from the Alexandria database. Energies are from PBEsol.

a b c (Å): 4.1340 4.1340 23.7796
angles (deg): 90.00 90.00 120.00
Space group R-3m (No. 166, hexagonal axes)
Asymmetric unit:
Ca (0.0000, 0.0000, 0.0000) x3
Y (0.0000, 0.0000, 0.5000) x3
S (0.0000, 0.0000, 0.3951) x6

Values from the calculation:
Crystal system: trigonal
V (Å³/cell): 352
Relative energy among the computed polymorphs (meV/atom): 309.7
Energy relative to the elements, uncorrected (eV per formula unit): -5.547
Raw total energy (eV per atom): -5.82
Fermi-level density of states (states/eV/atom): 0.375

***

# 11
Here is a relaxed CaY2S4 crystal from the Alexandria database. Energies are from PBEsol.

a b c (Å): 12.825 3.856 12.963
angles (deg): 90.00 90.00 90.00
Space group Pnma (No. 62)
Asymmetric unit:
Ca (0.131, 0.250, 0.082) x4
Y (0.107, 0.750, 0.415) x4
Y (0.146, 0.750, 0.798) x4
S (0.028, 0.250, 0.883) x4
S (0.035, 0.750, 0.617) x4
S (0.218, 0.750, 0.235) x4
S (0.243, 0.250, 0.475) x4

Values from the calculation:
Crystal system: orthorhombic
V (Å³/cell): 641
Energy relative to the elements, uncorrected (eV per formula unit): -15.091
Raw total energy (eV per atom): -6.92

***

# 12
Here is a relaxed Ca3ZnS crystal from the Alexandria database. Energies are from PBEsol.

a b c (Å): 5.304 5.304 5.304
angles (deg): 90.00 90.00 90.00
Space group Pm-3m (No. 221)
Asymmetric unit:
Ca (0.000, 0.000, 0.500) x3
Zn (0.500, 0.500, 0.500) x1
S (0.000, 0.000, 0.000) x1

Values from the calculation:
Crystal system: cubic
V (Å³/cell): 149
Relative energy among the computed polymorphs (meV/atom): 0.0
Energy relative to the elements, uncorrected (eV per formula unit): -3.500
Raw total energy (eV per atom): -3.17
Fermi-level density of states (states/eV/atom): 0.842

***

# 13
Here is a relaxed CaZrS3 crystal from the Alexandria database. Energies are from PBEsol.

a b c (Å): 7.005 9.511 6.452
angles (deg): 90.00 90.00 90.00
Space group Pnma (No. 62)
Asymmetric unit:
Ca (0.097, 0.250, 0.035) x4
Zr (0.000, 0.000, 0.500) x4
S (0.033, 0.750, 0.374) x4
S (0.188, 0.564, 0.821) x8

Values from the calculation:
Crystal system: orthorhombic
V (Å³/cell): 430
Energy relative to the elements, uncorrected (eV per formula unit): -8.993
Raw total energy (eV per atom): -6.67

***

# 14
Here is a relaxed CaZrS2 crystal from the Alexandria database. Energies are from PBEsol.

a b c (Å): 3.8593 3.8593 23.8388
angles (deg): 90.00 90.00 120.00
Space group R-3m (No. 166, hexagonal axes)
Asymmetric unit:
Ca (0.0000, 0.0000, 0.0000) x3
Zr (0.0000, 0.0000, 0.5000) x3
S (0.0000, 0.0000, 0.3999) x6

Values from the calculation:
Crystal system: trigonal
V (Å³/cell): 307
Energy relative to the elements, uncorrected (eV per formula unit): -4.504
Raw total energy (eV per atom): -6.12
Fermi-level density of states (states/eV/atom): 0.320

***

# 15
Here is a relaxed CaSb3 crystal from the Alexandria database. Energies are from PBEsol.

a b c (Å): 3.994 5.113 10.484
angles (deg): 90.00 90.00 90.00
Space group Immm (No. 71)
Asymmetric unit:
Ca (0.000, 0.000, 0.000) x2
Sb (0.000, 0.000, 0.500) x2
Sb (0.000, 0.500, 0.228) x4

Values from the calculation:
Crystal system: orthorhombic
V (Å³/cell): 214
Energy relative to the elements, uncorrected (eV per formula unit): -1.679
Raw total energy (eV per atom): -4.37
Fermi-level density of states (states/eV/atom): 0.490

***

# 16
Here is a relaxed Ca5Sb3 crystal from the Alexandria database. Energies are from PBEsol.

a b c (Å): 8.9776 8.9776 6.8414
angles (deg): 90.00 90.00 120.00
Space group P6_3/mcm (No. 193)
Asymmetric unit:
Ca (0.0000, 0.2522, 0.2500) x6
Ca (0.3333, 0.6667, 0.0000) x4
Sb (0.0000, 0.3895, 0.7500) x6

Values from the calculation:
Crystal system: hexagonal
V (Å³/cell): 478
Relative energy among the computed polymorphs (meV/atom): 0.0
Energy relative to the elements, uncorrected (eV per formula unit): -8.170
Raw total energy (eV per atom): -4.06
Fermi-level density of states (states/eV/atom): 0.197

***

# 17
Here is a relaxed Ca5Sb3 crystal from the Alexandria database. Energies are from PBEsol.

a b c (Å): 12.417 9.477 8.192
angles (deg): 90.00 90.00 90.00
Space group Pnma (No. 62)
Asymmetric unit:
Ca (0.004, 0.250, 0.035) x4
Ca (0.076, 0.042, 0.693) x8
Ca (0.208, 0.750, 0.346) x4
Ca (0.228, 0.250, 0.319) x4
Sb (0.016, 0.750, 0.578) x4
Sb (0.171, 0.512, 0.063) x8

Values from the calculation:
Crystal system: orthorhombic
V (Å³/cell): 964
Relative energy among the computed polymorphs (meV/atom): 8.8
Energy relative to the elements, uncorrected (eV per formula unit): -8.100
Raw total energy (eV per atom): -4.05
Fermi-level density of states (states/eV/atom): 0.077

***

# 18
Here is a relaxed Ca2Sb crystal from the Alexandria database. Energies are from PBEsol.

a b c (Å): 4.5856 4.5856 6.7008
angles (deg): 90.00 90.00 120.00
Space group P-3m1 (No. 164)
Asymmetric unit:
Ca (0.3333, 0.6667, 0.2313) x2
Sb (0.0000, 0.0000, 0.0000) x1

Values from the calculation:
Crystal system: trigonal
V (Å³/cell): 122
Energy relative to the elements, uncorrected (eV per formula unit): -1.830
Raw total energy (eV per atom): -3.55
Fermi-level density of states (states/eV/atom): 0.645

***

# 19
Here is a relaxed CaSb3 crystal from the Alexandria database. Energies are from PBEsol.

a b c (Å): 4.7785 4.7785 6.4215
angles (deg): 90.00 90.00 120.00
Space group P-6m2 (No. 187)
Asymmetric unit:
Ca (0.0000, 0.0000, 0.0000) x1
Sb (0.0000, 0.0000, 0.5000) x1
Sb (0.3333, 0.6667, 0.2541) x2

Values from the calculation:
Crystal system: hexagonal
V (Å³/cell): 127
Energy relative to the elements, uncorrected (eV per formula unit): -0.940
Raw total energy (eV per atom): -4.19
Fermi-level density of states (states/eV/atom): 0.379

***

# 20
Here is a relaxed CaSb4 crystal from the Alexandria database. Energies are from PBEsol.

a b c (Å): 6.782 6.782 6.782
angles (deg): 90.00 90.00 90.00
Space group Im-3m (No. 229)
Asymmetric unit:
Ca (0.000, 0.000, 0.000) x2
Sb (0.250, 0.250, 0.250) x8

Values from the calculation:
Crystal system: cubic
V (Å³/cell): 312
Energy relative to the elements, uncorrected (eV per formula unit): -0.053
Raw total energy (eV per atom): -4.08
Fermi-level density of states (states/eV/atom): 0.521

***

# 21
Here is a relaxed Ca11Sb10 crystal from the Alexandria database. Energies are from PBEsol.

a b c (Å): 11.868 11.868 17.128
angles (deg): 90.00 90.00 90.00
Space group I4/mmm (No. 139)
Asymmetric unit:
Ca (0.000, 0.000, 0.164) x4
Ca (0.000, 0.252, 0.311) x16
Ca (0.000, 0.338, 0.103) x16
Ca (0.166, 0.166, 0.500) x8
Sb (0.000, 0.000, 0.374) x4
Sb (0.000, 0.349, 0.500) x8
Sb (0.000, 0.500, 0.250) x4
Sb (0.127, 0.127, 0.000) x8
Sb (0.207, 0.207, 0.175) x16

Values from the calculation:
Crystal system: tetragonal
V (Å³/cell): 2412
Energy relative to the elements, uncorrected (eV per formula unit): -20.624
Raw total energy (eV per atom): -4.27
Fermi-level density of states (states/eV/atom): 0.361

***

# 22
Here is a relaxed Ca2Sb crystal from the Alexandria database. Energies are from PBEsol.

a b c (Å): 4.704 4.704 16.572
angles (deg): 90.00 90.00 90.00
Space group I4/mmm (No. 139)
Asymmetric unit:
Ca (0.000, 0.000, 0.175) x4
Ca (0.000, 0.500, 0.000) x4
Sb (0.000, 0.000, 0.364) x4

Values from the calculation:
Crystal system: tetragonal
V (Å³/cell): 367
Energy relative to the elements, uncorrected (eV per formula unit): -2.727
Raw total energy (eV per atom): -3.85
Fermi-level density of states (states/eV/atom): 0.426